# LiNi2P2, optimized geometry, DFT PBEsol
# **Formation energy from the elements**: -0.65 eV per atom
# **Size of the total moment**: 0.000 μB/f.u.
# **Final energy**: -5.821 eV/atom
# **Mass density**: 4.91 g/cm³
data_LiNi2P2
_space_group_name_H-M_alt 'I 4/m m m'
_space_group_IT_number 139
_space_group_name_Hall '-I 4 2'
_cell_length_a 3.7268
_cell_length_b 3.7268
_cell_length_c 9.0738
_cell_angle_alpha 90.00
_cell_angle_beta 90.00
_cell_angle_gamma 90.00
loop_
_atom_site_label
_atom_site_type_symbol
_atom_site_fract_x
_atom_site_fract_y
_atom_site_fract_z
_atom_site_occupancy
Li1 Li 0.0000 0.0000 0.0000 1
Ni1 Ni 0.0000 0.5000 0.2500 1
P1 P 0.0000 0.0000 0.3813 1